DFT (PBE) results for a relaxed Sc2HgO2 crystal.

Lattice parameters (Å, degrees): 6.905 6.905 2.914 90.00 90.00 90.00
Space group P4/mbm (No. 127)
Inequivalent atoms, fractional coordinates:
Sc: 0.145 0.355 0.000 x4
Hg: 0.000 0.000 0.500 x2
O: 0.124 0.624 0.500 x4

## Properties
For the total magnetization, the calculation gives 0.006 μB/cell. The value obtained for the formation energy without anion corrections is -1592 meV per atom. The density is 7.71 g/cm3. As for the energy above the lowest structure with this stoichiometry: 0.5130 eV/atom.

DFT (PBE) results for a relaxed Sc4Hg2O crystal.

Lattice parameters (Å, degrees): 4.412 4.412 14.292 90.00 90.00 90.00
Space group I4/mmm (No. 139)
Inequivalent atoms, fractional coordinates:
Sc: 0.000 0.000 0.171 x4
Sc: 0.000 0.500 0.000 x4
Hg: 0.000 0.000 0.366 x4
O: 0.000 0.000 0.000 x2

## Properties
For the total magnetization, the calculation gives 0.000 μB/cell. The value obtained for the formation energy without anion corrections is -1089 meV per atom. The density is 7.13 g/cm3.

DFT (PBE) results for a relaxed Sc5Hg3O12 crystal.

Lattice parameters (Å, degrees): 13.056 13.056 13.056 90.00 90.00 90.00
Space group Ia-3d (No. 230)
Inequivalent atoms, fractional coordinates:
Sc: 0.000 0.000 0.000 x16
Sc: 0.000 0.250 0.375 x24
Hg: 0.000 0.250 0.125 x24
O: 0.032 0.062 0.647 x96

## Properties
For the total magnetization, the calculation gives 24.774 μB/cell. The value obtained for the formation energy without anion corrections is -1952 meV per atom. The density is 6.08 g/cm3.

DFT (PBE) results for a relaxed ScHg3O crystal.

Lattice parameters (Å, degrees): 5.607 5.607 5.607 90.00 90.00 90.00
Space group Pm-3m (No. 221)
Inequivalent atoms, fractional coordinates:
Sc: 0.000 0.000 0.000 x1
Hg: 0.000 0.000 0.500 x3
O: 0.500 0.500 0.500 x1

## Properties
For the total magnetization, the calculation gives 0.001 μB/cell. The value obtained for the formation energy without anion corrections is 755 meV per atom. The density is 6.24 g/cm3.

DFT (PBE) results for a relaxed Sc2HgO2 crystal.

Lattice parameters (Å, degrees): 4.157 4.157 11.274 90.00 90.00 90.00
Space group I4/mmm (No. 139)
Inequivalent atoms, fractional coordinates:
Sc: 0.000 0.500 0.250 x4
Hg: 0.000 0.000 0.000 x2
O: 0.000 0.000 0.282 x4

## Properties
For the total magnetization, the calculation gives 0.000 μB/cell. The value obtained for the formation energy without anion corrections is -2105 meV per atom. The density is 5.50 g/cm3. As for the energy above the lowest structure with this stoichiometry: 0.0000 eV/atom.

DFT (PBE) results for a relaxed ScHgSe2O8 crystal.

Lattice parameters (Å, degrees): 8.920 5.666 8.053 90.00 92.27 90.00
Space group C2/m (No. 12)
Inequivalent atoms, fractional coordinates:
Sc: 0.000 0.000 0.000 x2
Hg: 0.000 0.000 0.500 x2
Se: 0.153 0.500 0.214 x4
O: 0.042 0.260 0.187 x8
O: 0.223 0.000 0.935 x4
O: 0.228 0.500 0.406 x4

## Properties
For the total magnetization, the calculation gives 0.044 μB/cell. The value obtained for the formation energy without anion corrections is -1130 meV per atom. The density is 4.34 g/cm3.